## A
# PBE NaZn2Cd6, optimized geometry
# density of states at the Fermi level = 4.566 states/eV/f.u.
# crystal system = hexagonal
data_NaZn2Cd6
_chemical_formula_sum 'Na1 Zn2 Cd6'
_symmetry_space_group_name_H-M 'P 6/m m m'
_symmetry_Int_Tables_number 191
_symmetry_space_group_name_Hall '-P 6 2'
_cell_length_a 6.1079
_cell_length_b 6.1079
_cell_length_c 7.2547
_cell_angle_alpha 90.00
_cell_angle_beta 90.00
_cell_angle_gamma 120.00
loop_
_atom_site_label
_atom_site_fract_x
_atom_site_fract_y
_atom_site_fract_z
Na1 0.0000 0.0000 0.0000
Zn1 0.3333 0.6667 0.5000
Cd1 0.0000 0.5000 0.2009



## B
# PBE NaZn2Cd6, optimized geometry
# density of states at the Fermi level = 2.802 states/eV/f.u.
# crystal system = monoclinic
data_NaZn2Cd6
_chemical_formula_sum 'Na2 Zn4 Cd12'
_symmetry_space_group_name_H-M 'C 1 2/m 1'
_symmetry_Int_Tables_number 12
_cell_length_a 15.239
_cell_length_b 8.474
_cell_length_c 3.107
_cell_angle_alpha 90.00
_cell_angle_beta 98.61
_cell_angle_gamma 90.00
loop_
_symmetry_equiv_pos_as_xyz
'x,y,z'
'-x,-y,-z'
'-x,y,-z'
'x,-y,z'
'x+1/2,y+1/2,z'
'-x+1/2,-y+1/2,-z'
'-x+1/2,y+1/2,-z'
'x+1/2,-y+1/2,z'
loop_
_atom_site_label
_atom_site_fract_x
_atom_site_fract_y
_atom_site_fract_z
Na1 0.000 0.000 0.000
Zn1 0.170 0.500 0.673
Cd1 0.000 0.329 0.500
Cd2 0.169 0.189 0.195



Which structure wins on stability? B wins.



## A
# PBE NaZrCd2, optimized geometry
# density of states at the Fermi level = 2.825 states/eV/f.u.
# crystal system = cubic
data_NaZrCd2
_chemical_formula_sum 'Na4 Zr4 Cd8'
_symmetry_space_group_name_H-M 'F m -3 m'
_symmetry_Int_Tables_number 225
_symmetry_space_group_name_Hall '-F 4 2 3'
_cell_length_a 7.116
_cell_length_b 7.116
_cell_length_c 7.116
_cell_angle_alpha 90.00
_cell_angle_beta 90.00
_cell_angle_gamma 90.00
loop_
_atom_site_label
_atom_site_fract_x
_atom_site_fract_y
_atom_site_fract_z
Na1 0.000 0.000 0.000
Zr1 0.000 0.000 0.500
Cd1 0.250 0.250 0.250



## B
# PBE NaZrCd2, optimized geometry
# density of states at the Fermi level = 2.989 states/eV/f.u.
# crystal system = tetragonal
data_NaZrCd2
_chemical_formula_sum 'Na1 Zr1 Cd2'
_symmetry_space_group_name_H-M 'P 4/m m m'
_symmetry_Int_Tables_number 123
_symmetry_space_group_name_Hall '-P 4 2'
_cell_length_a 3.183
_cell_length_b 3.183
_cell_length_c 9.230
_cell_angle_alpha 90.00
_cell_angle_beta 90.00
_cell_angle_gamma 90.00
loop_
_atom_site_label
_atom_site_fract_x
_atom_site_fract_y
_atom_site_fract_z
Na1 0.000 0.000 0.000
Zr1 0.000 0.000 0.500
Cd1 0.500 0.500 0.267



Which structure wins on stability? B wins.



## A
# PBE NaZrCd2, optimized geometry
# density of states at the Fermi level = 3.702 states/eV/f.u.
# crystal system = tetragonal
data_NaZrCd2
_chemical_formula_sum 'Na1 Zr1 Cd2'
_symmetry_space_group_name_H-M 'P 4/m m m'
_symmetry_Int_Tables_number 123
_symmetry_space_group_name_Hall '-P 4 2'
_cell_length_a 5.444
_cell_length_b 5.444
_cell_length_c 3.092
_cell_angle_alpha 90.00
_cell_angle_beta 90.00
_cell_angle_gamma 90.00
loop_
_atom_site_label
_atom_site_fract_x
_atom_site_fract_y
_atom_site_fract_z
Na1 0.000 0.000 0.000
Zr1 0.500 0.500 0.000
Cd1 0.000 0.500 0.500



## B
# PBE NaZrCd2, optimized geometry
# density of states at the Fermi level = 2.811 states/eV/f.u.
# crystal system = trigonal
data_NaZrCd2
_chemical_formula_sum 'Na3 Zr3 Cd6'
_symmetry_space_group_name_H-M 'R -3 m'
_symmetry_Int_Tables_number 166
_symmetry_space_group_name_Hall '-R 3 2"'
_cell_length_a 3.1409
_cell_length_b 3.1409
_cell_length_c 32.6110
_cell_angle_alpha 90.00
_cell_angle_beta 90.00
_cell_angle_gamma 120.00
loop_
_atom_site_label
_atom_site_fract_x
_atom_site_fract_y
_atom_site_fract_z
Na1 0.0000 0.0000 0.0000
Zr1 0.0000 0.0000 0.5000
Cd1 0.0000 0.0000 0.2475



## C
# PBE NaZrCd2, optimized geometry
# density of states at the Fermi level = 6.372 states/eV/f.u.
# crystal system = tetragonal
data_NaZrCd2
_chemical_formula_sum 'Na4 Zr4 Cd8'
_symmetry_space_group_name_H-M 'I -4 2 d'
_symmetry_Int_Tables_number 122
_symmetry_space_group_name_Hall 'I -4 2bw'
_cell_length_a 7.903
_cell_length_b 7.903
_cell_length_c 6.454
_cell_angle_alpha 90.00
_cell_angle_beta 90.00
_cell_angle_gamma 90.00
loop_
_atom_site_label
_atom_site_fract_x
_atom_site_fract_y
_atom_site_fract_z
Na1 0.000 0.000 0.000
Zr1 0.000 0.000 0.500
Cd1 0.247 0.250 0.125



Which structure wins on stability? A wins.